Record 1
# Rb2CuAgTe

Rb2CuAgTe after structural relaxation (PBE-GGA, Alexandria).

Values from the calculation:
**Space group**: P4/mmm, No. 123
**D(E_F)**: 3.366 states/eV per cell
**M_tot**: 0.0 μB per formula unit
**Raw total energy**: -2.39 eV/atom
**Density**: 3.914 g/cm3
**Uncorrected formation energy**: 6.0 kJ/mol of formula units

abc: 6.388 4.887 6.388
angles: 90.00 90.00 90.00
Element x y z (fractional)
Cu: 0.000 0.000 0.000
Ag: 0.000 0.500 0.000
Te: 0.500 0.500 0.500
Rb: 0.500 0.000 0.000
Rb: 0.000 0.000 0.500

Record 2
# RbV2CuAg

RbV2CuAg after structural relaxation (PBE-GGA, Alexandria).

Values from the calculation:
**Space group**: P4/mmm, No. 123
**D(E_F)**: 5.749 states/eV per cell
**Calculated formation energy**: 126 kJ per mole of atoms
**M_tot**: 7.1 μB per formula unit
**Raw total energy**: -3.92 eV/atom
**Density**: 4.391 g/cm3

abc: 5.166 5.083 5.166
angles: 90.00 90.00 90.00
Element x y z (fractional)
V: 0.000 0.000 0.500
Ag: 0.000 0.000 0.000
Cu: 0.000 0.500 0.000
V: 0.500 0.000 0.000
Rb: 0.500 0.500 0.500

Record 3
# CuRe2Ag

CuRe2Ag after structural relaxation (PBE-GGA, Alexandria).

Values from the calculation:
**Space group**: R3m, No. 160
**E above lowest polymorph**: 0.0 meV per atom
**D(E_F)**: 1.845 states/eV per cell
**Calculated formation energy**: 22 kJ per mole of atoms
**M_tot**: 0.0 μB per formula unit
**Raw total energy**: -7.73 eV/atom
**Density**: 14.863 g/cm3

abc: 9.259 9.259 9.259
angles: 17.23 17.23 17.23
Element x y z (fractional)
Cu: 0.253 0.253 0.253
Re: 0.000 0.000 0.000
Ag: 0.503 0.503 0.503
Re: 0.744 0.744 0.744

Record 4
# CuReAg2

CuReAg2 after structural relaxation (PBE-GGA, Alexandria).

Values from the calculation:
**Space group**: P4/mmm, No. 123
**E above lowest polymorph**: 109.8 meV per atom
**D(E_F)**: 2.220 states/eV per cell
**Calculated formation energy**: 45 kJ per mole of atoms
**M_tot**: 0.0 μB per formula unit
**Raw total energy**: -5.09 eV/atom
**Density**: 12.438 g/cm3

abc: 2.679 2.679 8.659
angles: 90.00 90.00 90.00
Element x y z (fractional)
Cu: 0.500 0.500 0.250
Ag: 0.000 0.000 0.013
Re: 0.500 0.500 0.750
Ag: 0.000 0.000 0.487